## Ho8Tl2Rh3 (PBE)

Data for a relaxed structure of Ho8Tl2Rh3.

The structure belongs to space group C2/m (No. 12); the cell edges are 15.881, 7.368 and 6.473 Å and the angles 90.00°, 100.02° and 90.00°. Symmetry generates all atoms from Ho at (0.082, 0.000, 0.360), Ho at (0.104, 0.250, 0.873), Ho at (0.136, 0.500, 0.374), Tl at (0.242, 0.000, 0.163), Rh at (0.000, 0.298, 0.500) and Rh at (0.000, 0.500, 0.000).

For the formation energy, the calculation gives -0.403 eV/atom. The spin magnetization comes out at 0.00 μB per cell.